Entry 1:
Density functional theory data (PBEsol) for a relaxed structure of LaFe2PdCl.

formation energy without anion corrections: 1455 meV per atom
space-group type: P4/mmm, No. 123

abc: 4.631 4.631 5.148
angles: 90.00 90.00 90.00
Positions (direct):
Cl: 0.500 0.500 0.500
Fe: 0.500 0.000 0.000
Fe: 0.000 0.500 0.000
Pd: 0.000 0.000 0.500
La: 0.000 0.000 0.000

---

Entry 2:
Density functional theory data (PBEsol) for a relaxed structure of LiS2NCl.

formation energy without anion corrections: 1137 meV per atom
space-group type: P4/mmm, No. 123

abc: 3.976 4.686 4.686
angles: 90.00 90.00 90.00
Positions (direct):
S: 0.000 0.500 0.000
S: 0.000 0.000 0.500
N: 0.500 0.000 0.000
Li: 0.500 0.500 0.500
Cl: 0.000 0.000 0.000

---

Entry 3:
Density functional theory data (PBEsol) for a relaxed structure of Li4CrHg.

formation energy from the elements: 193 meV per atom
space-group type: F-43m, No. 216

abc: 5.082 5.082 5.082
angles: 60.00 60.00 60.00
Positions (direct):
Hg: 0.000 0.000 0.000
Cr: 0.750 0.750 0.750
Li: 0.876 0.375 0.375
Li: 0.375 0.375 0.876
Li: 0.375 0.375 0.375
Li: 0.375 0.876 0.375

---

Entry 4:
Density functional theory data (PBEsol) for a relaxed structure of Ho5BiAu2.

formation energy from the elements: -720 meV per atom
space-group type: I4/mcm, No. 140

abc: 7.971 8.554 7.971
angles: 62.23 90.00 117.77
Positions (direct):
Ho: 0.295 0.281 0.514
Ho: 0.705 0.719 0.486
Ho: 0.205 0.719 0.295
Ho: 0.986 0.281 0.205
Ho: 0.514 0.719 0.986
Ho: 0.795 0.281 0.705
Ho: 0.486 0.281 0.014
Ho: 0.014 0.719 0.795
Ho: 0.500 0.000 0.500
Ho: 0.000 0.000 0.000
Au: 0.363 0.000 0.863
Au: 0.863 0.000 0.637
Au: 0.137 0.000 0.363
Au: 0.637 0.000 0.137
Bi: 0.750 0.500 0.250
Bi: 0.250 0.500 0.750

---

Entry 5:
Density functional theory data (PBEsol) for a relaxed structure of SrZnSnP2O8.

formation energy without anion corrections: -2230 meV per atom
space-group type: P-1, No. 2

abc: 5.328 8.302 10.205
angles: 119.48 107.29 87.03
Positions (direct):
O: 0.299 0.426 0.248
O: 0.046 0.794 0.402
O: 0.237 0.090 0.137
O: 0.170 0.406 0.895
O: 0.133 0.065 0.773
O: 0.406 0.721 0.594
O: 0.594 0.279 0.406
O: 0.701 0.574 0.752
O: 0.312 0.755 0.822
O: 0.954 0.206 0.598
O: 0.830 0.594 0.105
O: 0.688 0.245 0.178
O: 0.763 0.910 0.863
O: 0.453 0.216 0.714
O: 0.547 0.784 0.286
O: 0.867 0.935 0.227
Sr: 0.888 0.254 0.991
Sr: 0.112 0.746 0.009
Zn: 0.390 0.691 0.387
Zn: 0.610 0.309 0.613
P: 0.817 0.771 0.254
P: 0.552 0.743 0.763
P: 0.448 0.257 0.237
P: 0.183 0.229 0.746
Sn: 0.005 0.778 0.621
Sn: 0.995 0.222 0.379

---

Entry 6:
Density functional theory data (PBEsol) for a relaxed structure of KTiP2O7.

formation energy without anion corrections: -2448 meV per atom
space-group type: P2_1/c, No. 14

abc: 7.395 8.248 10.265
angles: 90.00 90.00 106.57
Positions (direct):
O: 0.457 0.241 0.784
O: 0.642 0.229 0.582
O: 0.854 0.985 0.091
O: 0.005 0.722 0.005
O: 0.079 0.254 0.734
O: 0.995 0.778 0.505
O: 0.079 0.754 0.766
O: 0.358 0.271 0.082
O: 0.921 0.746 0.266
O: 0.005 0.222 0.495
O: 0.995 0.278 0.995
O: 0.678 0.987 0.389
O: 0.642 0.729 0.918
O: 0.344 0.315 0.564
O: 0.358 0.771 0.418
O: 0.457 0.741 0.716
O: 0.921 0.246 0.234
O: 0.854 0.485 0.409
O: 0.678 0.487 0.111
O: 0.344 0.815 0.936
O: 0.146 0.515 0.591
O: 0.322 0.013 0.611
O: 0.322 0.513 0.889
O: 0.543 0.259 0.284
O: 0.656 0.685 0.436
O: 0.543 0.759 0.216
O: 0.656 0.185 0.064
O: 0.146 0.015 0.909
P: 0.866 0.671 0.402
P: 0.555 0.808 0.360
P: 0.866 0.171 0.098
P: 0.134 0.829 0.902
P: 0.555 0.308 0.140
P: 0.445 0.692 0.860
P: 0.445 0.192 0.640
P: 0.134 0.329 0.598
K: 0.824 0.444 0.825
K: 0.824 0.944 0.675
K: 0.176 0.556 0.175
K: 0.176 0.056 0.325
Ti: 0.235 0.761 0.600
Ti: 0.765 0.739 0.100
Ti: 0.765 0.239 0.400
Ti: 0.235 0.261 0.900

---

Entry 7:
Density functional theory data (PBEsol) for a relaxed structure of RbBa2Na2.

formation energy from the elements: 75 meV per atom
space-group type: P4/mbm, No. 127

abc: 4.832 10.681 10.681
angles: 90.00 90.00 90.00
Positions (direct):
Rb: 0.000 0.500 0.500
Rb: 0.000 0.000 0.000
Na: 0.000 0.373 0.873
Na: 0.000 0.127 0.373
Na: 0.000 0.627 0.127
Na: 0.000 0.873 0.627
Ba: 0.500 0.164 0.664
Ba: 0.500 0.336 0.164
Ba: 0.500 0.836 0.336
Ba: 0.500 0.664 0.836

---

Entry 8:
Density functional theory data (PBEsol) for a relaxed structure of Cs2HgI2.

formation energy without anion corrections: -1117 meV per atom
space-group type: P4/mbm, No. 127

abc: 4.615 10.227 10.227
angles: 90.00 90.00 90.00
Positions (direct):
Cs: 0.000 0.357 0.857
Cs: 0.000 0.143 0.357
Cs: 0.000 0.857 0.643
Cs: 0.000 0.643 0.143
Hg: 0.000 0.500 0.500
Hg: 0.000 0.000 0.000
I: 0.500 0.155 0.655
I: 0.500 0.655 0.845
I: 0.500 0.845 0.345
I: 0.500 0.345 0.155

---

Entry 9:
Density functional theory data (PBEsol) for a relaxed structure of TePt.

formation energy without anion corrections: -259 meV per atom
space-group type: Cmcm, No. 63

abc: 4.361 4.582 4.582
angles: 108.92 90.00 90.00
Positions (direct):
Pt: 0.750 0.890 0.110
Pt: 0.250 0.110 0.890
Te: 0.750 0.307 0.693
Te: 0.250 0.693 0.307

---

Entry 10:
Density functional theory data (PBEsol) for a relaxed structure of CuTc5.

formation energy from the elements: 67 meV per atom
offset from the most stable computed form: 0.0 meV/atom
space-group type: Amm2, No. 38

abc: 2.715 4.285 7.122
angles: 90.00 100.99 90.00
Positions (direct):
Tc: 0.110 0.500 0.219
Tc: 0.336 0.000 0.672
Tc: 0.776 0.500 0.552
Tc: 0.667 0.000 0.334
Tc: 0.445 0.500 0.891
Cu: 0.999 0.000 0.998

---

Fermi-level density of states for every record listed, in sequence, given in states/eV/f.u.: 4.8; 3.1; 3.1; 6.8; 0.0; 5.7; 4.5; 0.0; 0.8; 5.2.